(1)
# KSrAgCl4

A relaxed structure of KSrAgCl4 (PBE, Alexandria via LeMat-Bulk).

Formation energy from raw total energies in eV/f.u.: -12.0
Size of the total moment in μB per formula unit: 0.00
DOS at the Fermi energy in states/eV/f.u.: 0.000

```
14
Lattice="7.202 0.000 0.013 0.000 7.129 0.000 -2.806 0.000 8.328" Properties=species:S:1:pos:R:3 pbc="T T T"
Cl 6.290 0.056 2.348
Cl 1.802 5.347 5.037
Cl 2.594 1.782 3.304
Ag 0.906 5.347 2.598
K 1.603 1.782 0.441
Sr 4.372 5.347 3.724
Ag 3.490 1.782 5.743
Cl 1.419 1.782 7.175
K 2.793 5.347 7.899
Sr 0.023 1.782 4.616
Cl 6.290 3.509 2.348
Cl -1.894 3.621 5.993
Cl -1.894 7.073 5.993
Cl 2.977 5.347 1.166
```

---

(2)
# SrCoAs3

A relaxed structure of SrCoAs3 (PBE, Alexandria via LeMat-Bulk).

Offset from the most stable computed form in meV per atom: 0
Size of the total moment in μB per formula unit: 1.34
DOS at the Fermi energy in states/eV/f.u.: 4.138

```
5
Lattice="4.775 0.000 0.000 0.000 4.775 0.000 0.000 0.000 4.775" Properties=species:S:1:pos:R:3 pbc="T T T"
As 0.000 0.000 2.388
As 2.388 0.000 0.000
Co 0.000 0.000 0.000
Sr 2.388 2.388 2.388
As 0.000 2.388 0.000
```

---

(3)
# KTcP3

A relaxed structure of KTcP3 (PBE, Alexandria via LeMat-Bulk).

Offset from the most stable computed form in meV per atom: 2497
Size of the total moment in μB per formula unit: 0.01
DOS at the Fermi energy in states/eV/f.u.: 7.358

```
5
Lattice="-1.084 2.719 3.852 2.033 -3.296 2.899 4.254 2.269 -0.404" Properties=species:S:1:pos:R:3 pbc="T T T"
P 1.017 -1.648 1.450
Tc 2.601 0.846 3.174
P 2.127 1.134 -0.202
P -0.542 1.359 1.926
K 0.000 0.000 0.000
```

---

(4)
# HgPbSe2

A relaxed structure of HgPbSe2 (PBE, Alexandria via LeMat-Bulk).

Offset from the most stable computed form in meV per atom: 27
Formation energy from raw total energies in eV/f.u.: -1.1
Size of the total moment in μB per formula unit: 0.00
DOS at the Fermi energy in states/eV/f.u.: 0.000

```
8
Lattice="6.617 0.000 0.000 0.000 6.617 0.000 3.308 3.308 6.487" Properties=species:S:1:pos:R:3 pbc="T T T"
Se 4.963 5.177 4.865
Pb 0.000 0.000 0.000
Se 1.868 4.963 1.622
Hg 3.308 3.308 0.000
Pb 6.617 3.308 3.243
Hg 3.308 6.617 3.243
Se 8.271 8.057 4.865
Se 4.749 1.654 1.622
```

---

(5)
# HoTh2In3

A relaxed structure of HoTh2In3 (PBE, Alexandria via LeMat-Bulk).

Offset from the most stable computed form in meV per atom: 230
Size of the total moment in μB per formula unit: 0.00
DOS at the Fermi energy in states/eV/f.u.: 5.643

```
12
Lattice="-1.617 2.627 -5.127 -6.916 1.613 3.007 3.452 6.518 2.251" Properties=species:S:1:pos:R:3 pbc="T T T"
Th -3.522 3.546 -2.310
Th -1.558 7.212 2.440
Th -0.795 4.837 -2.508
Th -4.285 5.922 2.639
In -4.612 2.703 2.839
In -5.421 4.016 0.275
In 0.340 6.742 -0.145
Ho -0.771 1.517 -0.725
Ho -4.309 9.241 0.856
In -1.854 4.062 0.920
In 1.149 5.429 2.419
In -3.226 6.697 -0.789
```

---

(6)
# TeAs2Br

A relaxed structure of TeAs2Br (PBE, Alexandria via LeMat-Bulk).

Offset from the most stable computed form in meV per atom: 0
Formation energy from raw total energies in eV/f.u.: -0.2
Size of the total moment in μB per formula unit: 0.00
DOS at the Fermi energy in states/eV/f.u.: 1.487

```
4
Lattice="3.543 0.000 0.000 0.000 5.873 0.666 0.000 4.587 6.528" Properties=species:S:1:pos:R:3 pbc="T T T"
As 1.771 2.068 1.439
Br 0.000 4.916 3.030
Te 1.771 8.149 5.846
As 0.000 0.557 0.477
```

---

(7)
# K3RbU2Te6

A relaxed structure of K3RbU2Te6 (PBE, Alexandria via LeMat-Bulk).

Formation energy from raw total energies in eV/f.u.: -10.8
Size of the total moment in μB per formula unit: 4.00
DOS at the Fermi energy in states/eV/f.u.: 12.813

```
12
Lattice="-0.231 1.604 -4.323 -9.418 -3.592 -0.830 -1.059 9.011 5.864" Properties=species:S:1:pos:R:3 pbc="T T T"
Te -8.074 7.505 0.750
Te -5.754 2.296 -1.306
U -3.575 2.105 0.972
Te -8.881 3.237 1.675
K -4.824 -0.994 -2.577
Te -4.953 4.726 2.017
Te -2.634 -0.483 -0.039
K -2.468 6.996 0.262
U -7.133 4.917 -0.261
Te -1.827 3.785 -0.964
K -8.240 0.026 0.449
Rb -0.115 0.802 -2.162
```

---

(8)
# K2CdP

A relaxed structure of K2CdP (PBE, Alexandria via LeMat-Bulk).

Offset from the most stable computed form in meV per atom: 231
Size of the total moment in μB per formula unit: 0.00
DOS at the Fermi energy in states/eV/f.u.: 2.388

```
4
Lattice="4.510 0.000 0.000 0.000 3.227 -0.007 0.000 3.256 8.674" Properties=species:S:1:pos:R:3 pbc="T T T"
Cd 2.255 4.863 6.500
K 0.000 3.232 0.397
P 2.255 1.621 2.167
K 0.000 3.236 3.929
```

---

Q: Number 4 is which compound?
A: HgPbSe2